1.
# Si2HgPt (PBE, relaxed)
data_Si2HgPt
_cell_length_a 4.020
_cell_length_b 4.020
_cell_length_c 6.401
_cell_angle_alpha 103.29
_cell_angle_beta 103.29
_cell_angle_gamma 61.34
_symmetry_space_group_name_H-M 'P 1'
_symmetry_Int_Tables_number 1
loop_
_symmetry_equiv_pos_as_xyz
'x,y,z'
loop_
_atom_site_label
_atom_site_fract_x
_atom_site_fract_y
_atom_site_fract_z
Si1 0.000 0.000 0.000
Si2 0.616 0.616 0.757
Hg1 0.109 0.109 0.404
Pt1 0.304 0.304 0.857
# Magnetization, μB/atom: 0.000
# Total DFT energy (no corrections), eV per cell: -17.93

***

2.
# Si3HgPt (PBE, relaxed)
data_Si3HgPt
_cell_length_a 4.773
_cell_length_b 4.773
_cell_length_c 4.773
_cell_angle_alpha 90.00
_cell_angle_beta 90.00
_cell_angle_gamma 90.00
_symmetry_space_group_name_H-M 'P 1'
_symmetry_Int_Tables_number 1
loop_
_symmetry_equiv_pos_as_xyz
'x,y,z'
loop_
_atom_site_label
_atom_site_fract_x
_atom_site_fract_y
_atom_site_fract_z
Si1 0.000 0.000 0.500
Si2 0.000 0.500 0.000
Si3 0.500 0.000 0.000
Hg1 0.500 0.500 0.500
Pt1 0.000 0.000 0.000
# Magnetization, μB/atom: 0.000
# Total DFT energy (no corrections), eV per cell: -20.15
# Energy above the lowest structure with this stoichiometry, meV per atom: 0

***

What did the first record say?
# Si2HgPt (PBE, relaxed)
data_Si2HgPt
_cell_length_a 4.020
_cell_length_b 4.020
_cell_length_c 6.401
_cell_angle_alpha 103.29
_cell_angle_beta 103.29
_cell_angle_gamma 61.34
_symmetry_space_group_name_H-M 'P 1'
_symmetry_Int_Tables_number 1
loop_
_symmetry_equiv_pos_as_xyz
'x,y,z'
loop_
_atom_site_label
_atom_site_fract_x
_atom_site_fract_y
_atom_site_fract_z
Si1 0.000 0.000 0.000
Si2 0.616 0.616 0.757
Hg1 0.109 0.109 0.404
Pt1 0.304 0.304 0.857
# Magnetization, μB/atom: 0.000
# Total DFT energy (no corrections), eV per cell: -17.93